Li2As2Pt (PBE, relaxed); relative energy among the computed polymorphs = 0.0928 eV/atom; energy = -21.7 eV/cell; density of states at the Fermi level = 0.532 states/eV per atom; formation energy = -48.11 kJ/mol of atoms; space group = No. 71
1.0
-1.499 -2.655 2.595
-0.634 -4.816 -2.204
3.557 -3.757 1.299
As Li Pt
2 2 1
Direct
0.500 0.268 0.732
0.500 0.732 0.268
0.214 0.286 0.286
0.786 0.714 0.714
0.000 0.000 0.000